Entry from Alexandria: SrCdSCl2 at its PBEsol-relaxed geometry (meta-GGA SCAN).

Values from the calculation:
Fermi-level density of states: 2.56 states/eV per cell
total moment: 0.1 μB/f.u.
formation energy (no corrections): -0.948 eV per atom

Cell: 5.341 5.341 5.769 Å, 90.00 90.00 90.00°
Positions (direct):
S 0.000 0.000 0.500
Cl 0.000 0.500 0.000
Sr 0.000 0.000 0.000
Cd 0.500 0.500 0.500
Cl 0.500 0.000 0.000